An optimized crystal structure of Mg2Tc, computed with GGA-PBE.

The calculation puts the energy of formation at 0.21 eV per atom. The crystal system is orthorhombic. Its magnetization is 0.000 μB/cell. The space group is Amm2, No. 38. As for the total energy: -4.310 eV per atom.

Geometry as POSCAR:
```
Mg2Tc
1.0
-1.4574 -1.3145 -7.4065
0.2900 -1.5616 7.4957
-4.4140 1.8085 0.5476
Mg Tc
4 2
direct
0.0043 0.9957 0.0000
0.3227 0.6773 0.0000
0.6614 0.3386 0.0000
0.4477 0.5523 0.5000
0.7607 0.2393 0.5000
0.1365 0.8635 0.5000
```